Entry 1:
{
  "formula": "Er4Tm5",
  "functional": "GGA-PBE",
  "state": "relaxed",
  "magnetic_moment_mub_per_cell": 0.00,
  "crystal_system": "orthorhombic",
  "volume_a3_per_cell": 270.90,
  "delta_e_f_ev_per_fu": 0.402,
  "lattice_angstrom": [[-1.775, 5.940, 6.421], [1.775, -5.940, 6.421], [1.775, 5.940, -6.421]],
  "species": ["Er", "Er", "Er", "Er", "Tm", "Tm", "Tm", "Tm", "Tm"],
  "frac_coords": [[0.045, 0.190, 0.856], [0.334, 0.190, 0.144], [0.666, 0.810, 0.856], [0.955, 0.810, 0.144], [0.000, 0.500, 0.500], [0.293, 0.500, 0.793], [0.374, 0.874, 0.500], [0.626, 0.126, 0.500], [0.707, 0.500, 0.207]]
}



Entry 2:
{
  "formula": "CaTb6Er2",
  "functional": "GGA-PBE",
  "state": "relaxed",
  "magnetic_moment_mub_per_cell": 0.00,
  "crystal_system": "monoclinic",
  "volume_a3_per_cell": 594.68,
  "delta_e_f_ev_per_fu": 2.034,
  "lattice_angstrom": [[4.556, -7.269, 0.000], [4.556, 7.269, 0.000], [-0.433, 0.000, 8.978]],
  "species": ["Ca", "Ca", "Tb", "Tb", "Tb", "Tb", "Tb", "Tb", "Tb", "Tb", "Tb", "Tb", "Tb", "Tb", "Er", "Er", "Er", "Er"],
  "frac_coords": [[0.099, 0.901, 0.750], [0.901, 0.099, 0.250], [0.027, 0.813, 0.401], [0.187, 0.973, 0.099], [0.212, 0.597, 0.579], [0.322, 0.358, 0.879], [0.358, 0.322, 0.379], [0.403, 0.788, 0.921], [0.597, 0.212, 0.079], [0.642, 0.678, 0.621], [0.678, 0.642, 0.121], [0.788, 0.403, 0.421], [0.813, 0.027, 0.901], [0.973, 0.187, 0.599], [0.122, 0.529, 0.172], [0.471, 0.878, 0.328], [0.529, 0.122, 0.672], [0.878, 0.471, 0.828]]
}



Entry 3:
{
  "formula": "Ho7ScAl4",
  "functional": "GGA-PBE",
  "state": "relaxed",
  "magnetic_moment_mub_per_cell": 0.00,
  "crystal_system": "monoclinic",
  "volume_a3_per_cell": 314.56,
  "delta_e_f_ev_per_fu": -0.694,
  "lattice_angstrom": [[6.937, -2.688, 0.000], [6.937, 2.688, 0.000], [-5.775, 0.000, 8.435]],
  "species": ["Ho", "Ho", "Ho", "Ho", "Ho", "Ho", "Ho", "Sc", "Al", "Al", "Al", "Al"],
  "frac_coords": [[0.000, 0.000, 0.000], [0.213, 0.213, 0.659], [0.290, 0.290, 0.121], [0.434, 0.434, 0.608], [0.566, 0.566, 0.392], [0.710, 0.710, 0.879], [0.787, 0.787, 0.341], [0.500, 0.500, 0.000], [0.054, 0.054, 0.758], [0.175, 0.175, 0.335], [0.825, 0.825, 0.665], [0.946, 0.946, 0.242]]
}



Entry 4:
{
  "formula": "TaCd",
  "functional": "GGA-PBE",
  "state": "relaxed",
  "magnetic_moment_mub_per_cell": 0.00,
  "crystal_system": "tetragonal",
  "volume_a3_per_cell": 153.99,
  "delta_e_f_ev_per_fu": 0.909,
  "lattice_angstrom": [[4.166, 0.000, 0.000], [0.000, 4.166, 0.000], [0.000, 0.000, 8.874]],
  "species": ["Ta", "Ta", "Ta", "Ta", "Cd", "Cd", "Cd", "Cd"],
  "frac_coords": [[0.000, 0.250, 0.375], [0.000, 0.750, 0.625], [0.500, 0.250, 0.125], [0.500, 0.750, 0.875], [0.000, 0.250, 0.875], [0.000, 0.750, 0.125], [0.500, 0.250, 0.625], [0.500, 0.750, 0.375]]
}



Entry 5:
{
  "formula": "BeVP3",
  "functional": "GGA-PBE",
  "state": "relaxed",
  "magnetic_moment_mub_per_cell": 2.62,
  "crystal_system": "cubic",
  "volume_a3_per_cell": 75.77,
  "delta_e_f_ev_per_fu": 3.507,
  "lattice_angstrom": [[4.232, 0.000, 0.000], [0.000, 4.232, 0.000], [0.000, 0.000, 4.232]],
  "species": ["Be", "V", "P", "P", "P"],
  "frac_coords": [[0.000, 0.000, 0.000], [0.500, 0.500, 0.500], [0.000, 0.000, 0.500], [0.000, 0.500, 0.000], [0.500, 0.000, 0.000]]
}



Entry 6:
{
  "formula": "Tb4TmGa5",
  "functional": "GGA-PBE",
  "state": "relaxed",
  "magnetic_moment_mub_per_cell": 0.00,
  "crystal_system": "tetragonal",
  "volume_a3_per_cell": 228.16,
  "delta_e_f_ev_per_fu": -5.829,
  "lattice_angstrom": [[3.568, 0.000, 0.000], [0.000, 3.568, 0.000], [0.000, 0.000, 17.918]],
  "species": ["Tb", "Tb", "Tb", "Tb", "Tm", "Ga", "Ga", "Ga", "Ga", "Ga"],
  "frac_coords": [[0.000, 0.000, 0.101], [0.000, 0.000, 0.303], [0.000, 0.000, 0.697], [0.000, 0.000, 0.899], [0.000, 0.000, 0.500], [0.500, 0.500, 0.000], [0.500, 0.500, 0.202], [0.500, 0.500, 0.405], [0.500, 0.500, 0.595], [0.500, 0.500, 0.798]]
}